No. 1
# IrBrOF2, optimized geometry, DFT GGA-PBE
# final energy: -21.0 eV per cell
# uncorrected formation energy: -1.8 eV per formula unit
# distance to the lowest polymorph of the same formula: 0.000 eV per atom
data_IrBrOF2
_chemical_formula_sum 'Ir1 Br1 O1 F2'
_cell_length_a 4.3937
_cell_length_b 4.3937
_cell_length_c 3.7254
_cell_angle_alpha 90.00
_cell_angle_beta 90.00
_cell_angle_gamma 90.00
_symmetry_space_group_name_H-M 'P 4/m m m'
_symmetry_Int_Tables_number 123
_symmetry_space_group_name_Hall '-P 4 2'
loop_
_atom_site_label
_atom_site_fract_x
_atom_site_fract_y
_atom_site_fract_z
Ir1 0.0000 0.0000 0.0000
Br1 0.5000 0.5000 0.5000
O1 0.0000 0.0000 0.5000
F1 0.0000 0.5000 0.0000


No. 2
# Pr8Ir3Br3F, optimized geometry, DFT GGA-PBE
# final energy: -264.8 eV per cell
# uncorrected formation energy: -16.6 eV per formula unit
data_Pr8Ir3Br3F
_chemical_formula_sum 'Pr24 Ir9 Br9 F3'
_cell_length_a 8.4066
_cell_length_b 8.4066
_cell_length_c 22.6354
_cell_angle_alpha 90.00
_cell_angle_beta 90.00
_cell_angle_gamma 120.00
_symmetry_space_group_name_H-M 'R -3 m'
_symmetry_Int_Tables_number 166
_symmetry_space_group_name_Hall '-R 3 2"'
loop_
_atom_site_label
_atom_site_fract_x
_atom_site_fract_y
_atom_site_fract_z
Pr1 0.0000 0.0000 0.2330
Pr2 0.0167 0.5084 0.7645
Ir1 0.0000 0.5000 0.5000
Br1 0.0000 0.5000 0.0000
F1 0.0000 0.0000 0.5000


No. 3
# Pr8Ir3Br4F, optimized geometry, DFT GGA-PBE
# final energy: -186.2 eV per cell
# uncorrected formation energy: -19.7 eV per formula unit
data_Pr8Ir3Br4F
_chemical_formula_sum 'Pr16 Ir6 Br8 F2'
_cell_length_a 14.4422
_cell_length_b 8.3305
_cell_length_c 9.2107
_cell_angle_alpha 90.00
_cell_angle_beta 121.49
_cell_angle_gamma 90.00
_symmetry_space_group_name_H-M 'C 1 2/m 1'
_symmetry_Int_Tables_number 12
loop_
_symmetry_equiv_pos_as_xyz
'x,y,z'
'-x,-y,-z'
'-x,y,-z'
'x,-y,z'
'x+1/2,y+1/2,z'
'-x+1/2,-y+1/2,-z'
'-x+1/2,y+1/2,-z'
'x+1/2,-y+1/2,z'
loop_
_atom_site_label
_atom_site_fract_x
_atom_site_fract_y
_atom_site_fract_z
Pr1 0.0201 0.2420 0.3022
Pr2 0.2315 0.0000 0.6948
Pr3 0.2388 0.5000 0.6986
Ir1 0.0000 0.0000 0.5000
Ir2 0.2500 0.2500 0.5000
Br1 0.0000 0.0000 0.0000
Br2 0.0000 0.5000 0.0000
Br3 0.2500 0.2500 0.0000
F1 0.0000 0.5000 0.5000


No. 4
# Rb3IrBr2F6, optimized geometry, DFT GGA-PBE
# final energy: -96.7 eV per cell
# uncorrected formation energy: -22.0 eV per formula unit
data_Rb3IrBr2F6
_chemical_formula_sum 'Rb6 Ir2 Br4 F12'
_cell_length_a 15.8421
_cell_length_b 7.6376
_cell_length_c 5.5974
_cell_angle_alpha 90.00
_cell_angle_beta 90.90
_cell_angle_gamma 90.00
_symmetry_space_group_name_H-M 'C 1 2/m 1'
_symmetry_Int_Tables_number 12
loop_
_symmetry_equiv_pos_as_xyz
'x,y,z'
'-x,-y,-z'
'-x,y,-z'
'x,-y,z'
'x+1/2,y+1/2,z'
'-x+1/2,-y+1/2,-z'
'-x+1/2,y+1/2,-z'
'x+1/2,-y+1/2,z'
loop_
_atom_site_label
_atom_site_fract_x
_atom_site_fract_y
_atom_site_fract_z
Rb1 0.0000 0.0000 0.0000
Rb2 0.2500 0.2500 0.5000
Ir1 0.0000 0.5000 0.5000
Br1 0.2107 0.0000 0.0060
F1 0.0279 0.3169 0.7249
F2 0.1180 0.5000 0.4049


No. 5
# Rb2IrBr4F2, optimized geometry, DFT GGA-PBE
# final energy: -66.6 eV per cell
# uncorrected formation energy: -12.0 eV per formula unit
data_Rb2IrBr4F2
_chemical_formula_sum 'Rb4 Ir2 Br8 F4'
_cell_length_a 12.3597
_cell_length_b 7.5470
_cell_length_c 7.3702
_cell_angle_alpha 90.00
_cell_angle_beta 126.56
_cell_angle_gamma 90.00
_symmetry_space_group_name_H-M 'C 1 2/m 1'
_symmetry_Int_Tables_number 12
loop_
_symmetry_equiv_pos_as_xyz
'x,y,z'
'-x,-y,-z'
'-x,y,-z'
'x,-y,z'
'x+1/2,y+1/2,z'
'-x+1/2,-y+1/2,-z'
'-x+1/2,y+1/2,-z'
'x+1/2,-y+1/2,z'
loop_
_atom_site_label
_atom_site_fract_x
_atom_site_fract_y
_atom_site_fract_z
Rb1 0.2484 0.0000 0.1935
Ir1 0.0000 0.5000 0.0000
Br1 0.0368 0.2660 0.2710
F1 0.1934 0.5000 0.1309


No. 6
# ReIrBr2F, optimized geometry, DFT GGA-PBE
# final energy: -22.0 eV per cell
# uncorrected formation energy: 4.5 eV per formula unit
data_ReIrBr2F
_chemical_formula_sum 'Re1 Ir1 Br2 F1'
_cell_length_a 4.9613
_cell_length_b 4.9613
_cell_length_c 4.8113
_cell_angle_alpha 90.00
_cell_angle_beta 90.00
_cell_angle_gamma 90.00
_symmetry_space_group_name_H-M 'P 4/m m m'
_symmetry_Int_Tables_number 123
_symmetry_space_group_name_Hall '-P 4 2'
loop_
_atom_site_label
_atom_site_fract_x
_atom_site_fract_y
_atom_site_fract_z
Re1 0.0000 0.0000 0.0000
Ir1 0.0000 0.0000 0.5000
Br1 0.0000 0.5000 0.0000
F1 0.5000 0.5000 0.5000


No. 7
# IrSeBr2F, optimized geometry, DFT GGA-PBE
# final energy: -16.3 eV per cell
# uncorrected formation energy: 1.2 eV per formula unit
# distance to the lowest polymorph of the same formula: 0.000 eV per atom
data_IrSeBr2F
_chemical_formula_sum 'Ir1 Se1 Br2 F1'
_cell_length_a 5.1790
_cell_length_b 5.1790
_cell_length_c 4.6659
_cell_angle_alpha 90.00
_cell_angle_beta 90.00
_cell_angle_gamma 90.00
_symmetry_space_group_name_H-M 'P 4/m m m'
_symmetry_Int_Tables_number 123
_symmetry_space_group_name_Hall '-P 4 2'
loop_
_atom_site_label
_atom_site_fract_x
_atom_site_fract_y
_atom_site_fract_z
Ir1 0.0000 0.0000 0.0000
Se1 0.0000 0.0000 0.5000
Br1 0.0000 0.5000 0.0000
F1 0.5000 0.5000 0.5000


No. 8
# IrSeBr2F, optimized geometry, DFT GGA-PBE
# final energy: -12.5 eV per cell
# uncorrected formation energy: 5.1 eV per formula unit
# distance to the lowest polymorph of the same formula: 0.777 eV per atom
data_IrSeBr2F
_chemical_formula_sum 'Ir1 Se1 Br2 F1'
_cell_length_a 5.4678
_cell_length_b 5.4678
_cell_length_c 3.8212
_cell_angle_alpha 90.00
_cell_angle_beta 90.00
_cell_angle_gamma 90.00
_symmetry_space_group_name_H-M 'P 4/m m m'
_symmetry_Int_Tables_number 123
_symmetry_space_group_name_Hall '-P 4 2'
loop_
_atom_site_label
_atom_site_fract_x
_atom_site_fract_y
_atom_site_fract_z
Ir1 0.0000 0.0000 0.0000
Se1 0.5000 0.5000 0.0000
Br1 0.0000 0.5000 0.5000
F1 0.5000 0.5000 0.5000


No. 9
# IrSe2BrF, optimized geometry, DFT GGA-PBE
# final energy: -17.8 eV per cell
# uncorrected formation energy: 1.6 eV per formula unit
# distance to the lowest polymorph of the same formula: 0.000 eV per atom
data_IrSe2BrF
_chemical_formula_sum 'Ir1 Se2 Br1 F1'
_cell_length_a 4.7990
_cell_length_b 4.7990
_cell_length_c 5.2346
_cell_angle_alpha 90.00
_cell_angle_beta 90.00
_cell_angle_gamma 90.00
_symmetry_space_group_name_H-M 'P 4/m m m'
_symmetry_Int_Tables_number 123
_symmetry_space_group_name_Hall '-P 4 2'
loop_
_atom_site_label
_atom_site_fract_x
_atom_site_fract_y
_atom_site_fract_z
Ir1 0.0000 0.0000 0.0000
Se1 0.0000 0.5000 0.0000
Br1 0.0000 0.0000 0.5000
F1 0.5000 0.5000 0.5000


No. 10
# IrSe2BrF, optimized geometry, DFT GGA-PBE
# final energy: -14.2 eV per cell
# uncorrected formation energy: 5.2 eV per formula unit
# distance to the lowest polymorph of the same formula: 0.721 eV per atom
data_IrSe2BrF
_chemical_formula_sum 'Ir1 Se2 Br1 F1'
_cell_length_a 4.2620
_cell_length_b 4.2620
_cell_length_c 5.7199
_cell_angle_alpha 90.00
_cell_angle_beta 90.00
_cell_angle_gamma 90.00
_symmetry_space_group_name_H-M 'P 4/m m m'
_symmetry_Int_Tables_number 123
_symmetry_space_group_name_Hall '-P 4 2'
loop_
_atom_site_label
_atom_site_fract_x
_atom_site_fract_y
_atom_site_fract_z
Ir1 0.0000 0.0000 0.0000
Se1 0.0000 0.5000 0.5000
Br1 0.5000 0.5000 0.0000
F1 0.5000 0.5000 0.5000


No. 11
# TeIrBrF, optimized geometry, DFT GGA-PBE
# final energy: -17.8 eV per cell
# uncorrected formation energy: -2.3 eV per formula unit
# distance to the lowest polymorph of the same formula: 0.000 eV per atom
data_TeIrBrF
_chemical_formula_sum 'Te1 Ir1 Br1 F1'
_cell_length_a 3.8582
_cell_length_b 3.9682
_cell_length_c 6.9349
_cell_angle_alpha 95.03
_cell_angle_beta 90.05
_cell_angle_gamma 118.97
_symmetry_space_group_name_H-M 'P 1'
_symmetry_Int_Tables_number 1
loop_
_symmetry_equiv_pos_as_xyz
'x,y,z'
loop_
_atom_site_label
_atom_site_fract_x
_atom_site_fract_y
_atom_site_fract_z
Te1 0.0000 0.0000 0.0000
Ir1 0.6774 0.3552 0.1834
Br1 0.3688 0.7400 0.3932
F1 0.1133 0.2346 0.7360


No. 12
# TeIrBrF, optimized geometry, DFT GGA-PBE
# final energy: -33.9 eV per cell
# uncorrected formation energy: -1.4 eV per formula unit
# distance to the lowest polymorph of the same formula: 0.223 eV per atom
data_TeIrBrF
_chemical_formula_sum 'Te2 Ir2 Br2 F2'
_cell_length_a 10.3771
_cell_length_b 3.9929
_cell_length_c 6.0686
_cell_angle_alpha 90.00
_cell_angle_beta 110.73
_cell_angle_gamma 90.00
_symmetry_space_group_name_H-M 'C 1 m 1'
_symmetry_Int_Tables_number 8
loop_
_symmetry_equiv_pos_as_xyz
'x,y,z'
'x,-y,z'
'x+1/2,y+1/2,z'
'x+1/2,-y+1/2,z'
loop_
_atom_site_label
_atom_site_fract_x
_atom_site_fract_y
_atom_site_fract_z
Te1 0.0000 0.0000 0.0000
Ir1 0.3774 0.0000 0.7826
Br1 0.4552 0.0000 0.4538
F1 0.2120 0.0000 0.8828


No. 13
# TeIrBrF, optimized geometry, DFT GGA-PBE
# final energy: -34.3 eV per cell
# uncorrected formation energy: -1.6 eV per formula unit
# distance to the lowest polymorph of the same formula: 0.172 eV per atom
data_TeIrBrF
_chemical_formula_sum 'Te2 Ir2 Br2 F2'
_cell_length_a 10.0627
_cell_length_b 3.7495
_cell_length_c 5.5070
_cell_angle_alpha 90.00
_cell_angle_beta 99.85
_cell_angle_gamma 90.00
_symmetry_space_group_name_H-M 'C 1 m 1'
_symmetry_Int_Tables_number 8
loop_
_symmetry_equiv_pos_as_xyz
'x,y,z'
'x,-y,z'
'x+1/2,y+1/2,z'
'x+1/2,-y+1/2,z'
loop_
_atom_site_label
_atom_site_fract_x
_atom_site_fract_y
_atom_site_fract_z
Te1 0.0000 0.0000 0.0000
Ir1 0.1108 0.5000 0.2692
Br1 0.2027 0.0000 0.5866
F1 0.3178 0.5000 0.1490


No. 14
# TeIrBrF, optimized geometry, DFT GGA-PBE
# final energy: -17.0 eV per cell
# uncorrected formation energy: -1.4 eV per formula unit
# distance to the lowest polymorph of the same formula: 0.215 eV per atom
data_TeIrBrF
_chemical_formula_sum 'Te1 Ir1 Br1 F1'
_cell_length_a 3.7297
_cell_length_b 3.0673
_cell_length_c 8.0227
_cell_angle_alpha 90.00
_cell_angle_beta 101.32
_cell_angle_gamma 90.00
_symmetry_space_group_name_H-M 'P 1 m 1'
_symmetry_Int_Tables_number 6
loop_
_symmetry_equiv_pos_as_xyz
'x,y,z'
'x,-y,z'
loop_
_atom_site_label
_atom_site_fract_x
_atom_site_fract_y
_atom_site_fract_z
Te1 0.0000 0.0000 0.0000
Ir1 0.3856 0.0000 0.7644
Br1 0.4364 0.5000 0.5329
F1 0.4604 0.0000 0.2081


No. 15
# TeIrBrF, optimized geometry, DFT GGA-PBE
# final energy: -17.4 eV per cell
# uncorrected formation energy: -1.8 eV per formula unit
# distance to the lowest polymorph of the same formula: 0.109 eV per atom
data_TeIrBrF
_chemical_formula_sum 'Te1 Ir1 Br1 F1'
_cell_length_a 3.8418
_cell_length_b 3.8421
_cell_length_c 7.6330
_cell_angle_alpha 86.33
_cell_angle_beta 84.74
_cell_angle_gamma 78.17
_symmetry_space_group_name_H-M 'P 1'
_symmetry_Int_Tables_number 1
loop_
_symmetry_equiv_pos_as_xyz
'x,y,z'
loop_
_atom_site_label
_atom_site_fract_x
_atom_site_fract_y
_atom_site_fract_z
Te1 0.0000 0.0000 0.0000
Ir1 0.5839 0.5921 0.1199
Br1 0.5864 0.6147 0.4271
F1 0.4990 0.4891 0.8570


No. 16
# Tl3IrBr2F6, optimized geometry, DFT GGA-PBE
# final energy: -94.1 eV per cell
# uncorrected formation energy: -16.5 eV per formula unit
data_Tl3IrBr2F6
_chemical_formula_sum 'Tl6 Ir2 Br4 F12'
_cell_length_a 15.5074
_cell_length_b 7.6463
_cell_length_c 5.0636
_cell_angle_alpha 90.00
_cell_angle_beta 91.01
_cell_angle_gamma 90.00
_symmetry_space_group_name_H-M 'C 1 2/m 1'
_symmetry_Int_Tables_number 12
loop_
_symmetry_equiv_pos_as_xyz
'x,y,z'
'-x,-y,-z'
'-x,y,-z'
'x,-y,z'
'x+1/2,y+1/2,z'
'-x+1/2,-y+1/2,-z'
'-x+1/2,y+1/2,-z'
'x+1/2,-y+1/2,z'
loop_
_atom_site_label
_atom_site_fract_x
_atom_site_fract_y
_atom_site_fract_z
Tl1 0.0000 0.0000 0.0000
Tl2 0.2500 0.2500 0.5000
Ir1 0.0000 0.5000 0.5000
Br1 0.2059 0.0000 0.0072
F1 0.0474 0.3159 0.7222
F2 0.1108 0.5000 0.3264


No. 17
# Tl2IrBr4F2, optimized geometry, DFT GGA-PBE
# final energy: -64.5 eV per cell
# uncorrected formation energy: -8.2 eV per formula unit
data_Tl2IrBr4F2
_chemical_formula_sum 'Tl4 Ir2 Br8 F4'
_cell_length_a 11.6940
_cell_length_b 7.4809
_cell_length_c 7.1811
_cell_angle_alpha 90.00
_cell_angle_beta 126.43
_cell_angle_gamma 90.00
_symmetry_space_group_name_H-M 'C 1 2/m 1'
_symmetry_Int_Tables_number 12
loop_
_symmetry_equiv_pos_as_xyz
'x,y,z'
'-x,-y,-z'
'-x,y,-z'
'x,-y,z'
'x+1/2,y+1/2,z'
'-x+1/2,-y+1/2,-z'
'-x+1/2,y+1/2,-z'
'x+1/2,-y+1/2,z'
loop_
_atom_site_label
_atom_site_fract_x
_atom_site_fract_y
_atom_site_fract_z
Tl1 0.2432 0.0000 0.3041
Ir1 0.0000 0.5000 0.0000
Br1 0.0375 0.2640 0.7979
F1 0.2047 0.5000 0.2617


No. 18
# Tl2IrBr2F4, optimized geometry, DFT GGA-PBE
# final energy: -72.1 eV per cell
# uncorrected formation energy: -11.6 eV per formula unit
data_Tl2IrBr2F4
_chemical_formula_sum 'Tl4 Ir2 Br4 F8'
_cell_length_a 12.0943
_cell_length_b 6.3914
_cell_length_c 5.4894
_cell_angle_alpha 90.00
_cell_angle_beta 91.16
_cell_angle_gamma 90.00
_symmetry_space_group_name_H-M 'C 1 2/m 1'
_symmetry_Int_Tables_number 12
loop_
_symmetry_equiv_pos_as_xyz
'x,y,z'
'-x,-y,-z'
'-x,y,-z'
'x,-y,z'
'x+1/2,y+1/2,z'
'-x+1/2,-y+1/2,-z'
'-x+1/2,y+1/2,-z'
'x+1/2,-y+1/2,z'
loop_
_atom_site_label
_atom_site_fract_x
_atom_site_fract_y
_atom_site_fract_z
Tl1 0.1354 0.0000 0.1796
Ir1 0.0000 0.5000 0.5000
Br1 0.1896 0.5000 0.3266
F1 0.0457 0.2759 0.7260


No. 19
# KBrF3, optimized geometry, DFT GGA-PBE
# final energy: -11.9 eV per cell
# uncorrected formation energy: -3.5 eV per formula unit
# distance to the lowest polymorph of the same formula: 0.634 eV per atom
data_KBrF3
_chemical_formula_sum 'K1 Br1 F3'
_cell_length_a 4.9195
_cell_length_b 4.9195
_cell_length_c 4.9195
_cell_angle_alpha 90.00
_cell_angle_beta 90.00
_cell_angle_gamma 90.00
_symmetry_space_group_name_H-M 'P m -3 m'
_symmetry_Int_Tables_number 221
_symmetry_space_group_name_Hall '-P 4 2 3'
loop_
_atom_site_label
_atom_site_fract_x
_atom_site_fract_y
_atom_site_fract_z
K1 0.0000 0.0000 0.0000
Br1 0.5000 0.5000 0.5000
F1 0.0000 0.0000 0.5000


No. 20
# K12Br5F3, optimized geometry, DFT GGA-PBE
# final energy: -459.2 eV per cell
# uncorrected formation energy: -30.3 eV per formula unit
data_K12Br5F3
_chemical_formula_sum 'K96 Br40 F24'
_cell_length_a 19.2992
_cell_length_b 19.2992
_cell_length_c 19.2992
_cell_angle_alpha 90.00
_cell_angle_beta 90.00
_cell_angle_gamma 90.00
_symmetry_space_group_name_H-M 'I a -3 d'
_symmetry_Int_Tables_number 230
_symmetry_space_group_name_Hall '-I 4bd 2c 3'
loop_
_atom_site_label
_atom_site_fract_x
_atom_site_fract_y
_atom_site_fract_z
K1 0.0293 0.0356 0.3360
Br1 0.0000 0.0000 0.0000
Br2 0.0000 0.2500 0.3750
F1 0.0000 0.2500 0.1250


| no. | density of states at the Fermi level (states/eV/atom) |
| --- | --- |
| 1 | 0.8018 |
| 2 | 0.5372 |
| 3 | 0.4319 |
| 4 | 1.0132 |
| 5 | 0.6930 |
| 6 | 1.5488 |
| 7 | 1.6387 |
| 8 | 1.5954 |
| 9 | 1.4034 |
| 10 | 1.3012 |
| 11 | 0.8303 |
| 12 | 0.3933 |
| 13 | 0.0908 |
| 14 | 0.2561 |
| 15 | 0.9000 |
| 16 | 0.8230 |
| 17 | 0.6808 |
| 18 | 0.4157 |
| 19 | 2.4769 |
| 20 | 0.2781 |